Crystalline Rb3SiF8 at its relaxed geometry. Source: the Alexandria database, functional PBE-GGA.

The value obtained for the energy relative to the elements, uncorrected is -2.75 eV/atom. Its total moment is 1.18 μB/f.u.

The space group is P6_3mc (No. 186) and the conventional cell measures 8.2810, 8.2810 and 7.2508 Å, with angles of 90.00, 90.00 and 120.00 degrees. The inequivalent atoms are Rb at (0.1600, 0.3199, 0.0000), Si at (0.3333, 0.6667, 0.5735), F at (0.0000, 0.0000, 0.2460), F at (0.1373, 0.5686, 0.7115), F at (0.2339, 0.4678, 0.4409) and F at (0.3333, 0.6667, 0.1228).

=====

Crystalline RbSiF5 at its relaxed geometry. Source: the Alexandria database, functional PBE-GGA.

The value obtained for the energy relative to the elements, uncorrected is -3.09 eV/atom. Its total moment is 0.00 μB/f.u.

The space group is C2/c (No. 15) and the conventional cell measures 9.3220, 7.3312 and 7.3427 Å, with angles of 90.00, 111.37 and 90.00 degrees. The inequivalent atoms are Rb at (0.0000, 0.0235, 0.2500), Si at (0.0000, 0.5000, 0.0000), F at (0.0000, 0.4600, 0.2500), F at (0.0577, 0.2830, 0.9966) and F at (0.1828, 0.4321, 0.5940).

=====

Values for density of states at the Fermi level, states/eV/cell, ordered as above
41.1, 0.0